1.
VASP calculation (SCAN) on a PBEsol-optimized structure of Cs2KRb2.

```
Cs2KRb2
1.0
6.180 0.000 0.000
0.000 6.180 0.000
0.000 0.000 25.997
Cs K Rb
4 2 4
Direct
0.000 0.000 0.096
0.000 0.000 0.904
0.500 0.500 0.404
0.500 0.500 0.596
0.000 0.000 0.500
0.500 0.500 0.000
0.000 0.500 0.250
0.000 0.500 0.750
0.500 0.000 0.250
0.500 0.000 0.750
```

Properties
Energy above the most stable polymorph in this dataset   15 meV/atom
SG   I4/mmm
ΔE_f   0.352 eV per formula unit
Calculated total energy   -125.08 eV/f.u.

2.
VASP calculation (SCAN) on a PBEsol-optimized structure of SbW2Br.

```
SbW2Br
1.0
5.536 0.000 0.000
0.000 9.437 0.000
-1.774 0.000 2.844
Sb W Br
2 4 2
Direct
0.000 0.000 0.000
0.500 0.500 0.000
0.250 0.250 0.500
0.250 0.750 0.500
0.750 0.250 0.500
0.750 0.750 0.500
0.000 0.500 0.000
0.500 0.000 0.000
```

Properties
Energy above the most stable polymorph in this dataset   776 meV/atom
ΔE_f (raw)   1393.1 meV/atom
SG   C2/m
Calculated total energy   -190.52 eV/f.u.

3.
VASP calculation (SCAN) on a PBEsol-optimized structure of Li2AgOs.

```
Li2AgOs
1.0
2.602 0.000 0.000
0.000 4.577 0.000
0.000 0.000 4.807
Li Ag Os
2 1 1
Direct
0.000 0.000 0.000
0.500 0.000 0.500
0.000 0.500 0.500
0.500 0.500 0.000
```

Properties
Energy above the most stable polymorph in this dataset   18 meV/atom
SG   Pmmm
ΔE_f   0.930 eV per formula unit
Calculated total energy   -107.10 eV/f.u.

4.
VASP calculation (SCAN) on a PBEsol-optimized structure of SiTc3Sb.

```
SiTc3Sb
1.0
4.390 0.000 0.000
0.000 4.390 0.000
0.000 0.000 4.390
Si Tc Sb
1 3 1
Direct
0.000 0.000 0.000
0.000 0.000 0.500
0.000 0.500 0.000
0.500 0.000 0.000
0.500 0.500 0.500
```

Properties
ΔE_f (raw)   709.6 meV/atom
SG   Pm-3m
Calculated total energy   -148.91 eV/f.u.

5.
VASP calculation (SCAN) on a PBEsol-optimized structure of LiPAu3.

```
LiPAu3
1.0
4.686 0.000 0.000
0.000 4.686 0.000
0.000 0.000 4.686
Li P Au
1 1 3
Direct
0.000 0.000 0.000
0.500 0.500 0.500
0.000 0.500 0.500
0.500 0.000 0.500
0.500 0.500 0.000
```

Properties
SG   Pm-3m
ΔE_f   -0.309 eV per formula unit
Calculated total energy   -220.57 eV/f.u.

6.
VASP calculation (SCAN) on a PBEsol-optimized structure of OsSeBr3.

```
OsSeBr3
1.0
5.236 0.000 0.000
0.000 5.236 0.000
0.000 0.000 5.236
Os Se Br
1 1 3
Direct
0.000 0.000 0.000
0.500 0.500 0.500
0.000 0.500 0.500
0.500 0.000 0.500
0.500 0.500 0.000
```

Properties
ΔE_f (raw)   1398.9 meV/atom
SG   Pm-3m
Calculated total energy   -143.34 eV/f.u.

7.
VASP calculation (SCAN) on a PBEsol-optimized structure of ReRh2W.

```
ReRh2W
1.0
3.812 0.000 0.000
0.000 3.812 0.000
0.000 0.000 7.800
Re Rh W
2 4 2
Direct
0.000 0.000 0.000
0.500 0.500 0.500
0.000 0.500 0.250
0.000 0.500 0.750
0.500 0.000 0.250
0.500 0.000 0.750
0.000 0.000 0.500
0.500 0.500 0.000
```

Properties
Energy above the most stable polymorph in this dataset   61 meV/atom
SG   I4/mmm
ΔE_f   -0.635 eV per formula unit
Calculated total energy   -208.96 eV/f.u.

8.
VASP calculation (SCAN) on a PBEsol-optimized structure of LaTc2As2.

```
LaTc2As2
1.0
4.264 0.000 0.000
0.000 4.264 0.000
0.000 0.000 10.252
La Tc As
2 4 4
Direct
0.000 0.000 0.000
0.500 0.500 0.500
0.000 0.500 0.250
0.000 0.500 0.750
0.500 0.000 0.250
0.500 0.000 0.750
0.000 0.000 0.365
0.000 0.000 0.635
0.500 0.500 0.135
0.500 0.500 0.865
```

Properties
SG   I4/mmm
ΔE_f   -3.678 eV per formula unit
Calculated total energy   -157.28 eV/f.u.